Here is a PBEsol-optimized structure of CaCdC2S from Alexandria via LeMat-Bulk. Energies are from SCAN.

Calculated values
As for the crystal system: tetragonal. The uncorrected formation energy is 9.4 eV/f.u.

Cell lengths 4.0644, 4.0644, 4.8462 Å; angles 90.00, 90.00, 90.00 degrees
Atoms (fractional coordinates):
Ca1 0.0000 0.0000 0.0000
Cd1 0.5000 0.5000 0.0000
C1 0.0000 0.5000 0.5000
C2 0.5000 0.0000 0.5000
S1 0.5000 0.5000 0.5000